Density functional theory data (PBE) for crystalline LiNd2CuPt2 at its relaxed geometry.

abc: 5.8247 5.8995 8.3669
angles: 110.64 110.37 90.00
With the nearest neighbours (Å) after each atom.
Fractional positions:
Li 0.0000 0.7500 0.0000  4 Pt 2.72, 2 Cu 2.91, 2 Li 2.95
Li 0.0000 0.2500 0.0000  4 Pt 2.72, 2 Cu 2.91, 2 Li 2.95
Nd 0.4189 0.1661 0.3323  5 Pt 2.97-3.09, 2 Cu 3.18, 2 Li 3.19
Nd 0.5811 0.8339 0.6677  5 Pt 2.97-3.09, 2 Cu 3.18, 2 Li 3.19
Nd 0.0866 0.3339 0.6677  5 Pt 2.97-3.09, 2 Cu 3.18, 2 Li 3.19
Nd 0.9134 0.6661 0.3323  5 Pt 2.97-3.09, 2 Cu 3.18, 2 Li 3.19
Cu 0.5000 0.7500 0.0000  4 Pt 2.73, 2 Li 2.91, 2 Cu 2.95
Cu 0.5000 0.2500 0.0000  4 Pt 2.73, 2 Li 2.91, 2 Cu 2.95
Pt 0.8728 0.1216 0.2432  2 Li 2.72, 2 Cu 2.73, 4 Nd 2.97-3.02
Pt 0.3704 0.6216 0.2432  2 Li 2.72, 2 Cu 2.73, 4 Nd 2.97-3.02
Pt 0.6296 0.3784 0.7568  2 Li 2.72, 2 Cu 2.73, 4 Nd 2.97-3.02
Pt 0.1272 0.8784 0.7568  2 Li 2.72, 2 Cu 2.73, 4 Nd 2.97-3.02

Output
total magnetic moment = 0.000 Bohr magnetons per cell
E = -64.530 eV for the cell shown